(1)
Zr5Te3 | PBE | relaxed

a = 6.499 Å, b = 15.131 Å, c = 8.271 Å
α = 90.00°, β = 112.79°, γ = 90.00°
Space group Cm (No. 8)
Asymmetric unit:
Zr  0.000  0.000  0.000 (multiplicity 2)
Zr  0.007  0.500  0.016 (multiplicity 2)
Zr  0.178  0.394  0.650 (multiplicity 4)
Zr  0.209  0.176  0.793 (multiplicity 4)
Zr  0.434  0.174  0.214 (multiplicity 4)
Zr  0.453  0.395  0.347 (multiplicity 4)
Te  0.080  0.000  0.670 (multiplicity 2)
Te  0.221  0.331  0.996 (multiplicity 4)
Te  0.312  0.236  0.502 (multiplicity 4)
Te  0.378  0.000  0.345 (multiplicity 2)

Results
The density of states at the Fermi level is 22.32 states/eV per cell. For the distance to the lowest polymorph of the same formula, the calculation gives 0.0001 eV/atom.


(2)
ScZn3Pt4 | PBE | relaxed

a = 9.146 Å, b = 5.767 Å, c = 4.674 Å
α = 90.00°, β = 90.00°, γ = 90.00°
Space group Pmma (No. 51)
Asymmetric unit:
Sc  0.000  0.000  0.000 (multiplicity 2)
Zn  0.000  0.500  0.000 (multiplicity 2)
Zn  0.250  0.000  0.415 (multiplicity 2)
Zn  0.250  0.500  0.403 (multiplicity 2)
Pt  0.000  0.256  0.500 (multiplicity 4)
Pt  0.250  0.259  0.902 (multiplicity 4)

Results
The density of states at the Fermi level is 4.95 states/eV per cell. The energy of formation comes out at -758 meV/atom.


(3)
Al3Ru | PBE | relaxed

a = 8.952 Å, b = 2.979 Å, c = 4.522 Å
α = 90.00°, β = 101.75°, γ = 90.00°
Space group C2/m (No. 12)
Asymmetric unit:
Al  0.000  0.000  0.000 (multiplicity 2)
Al  0.238  0.000  0.733 (multiplicity 4)
Ru  0.000  0.500  0.500 (multiplicity 2)

Results
The density of states at the Fermi level is 3.33 states/eV per cell. The energy of formation comes out at -367 meV/atom.